Entry 1:
Below is crystalline Sm2USe5 at its relaxed geometry, with properties calculated at the PBE-GGA level.

The structure in POSCAR format:
```
Sm2USe5
1.0
7.994 0.000 0.000
0.000 12.549 0.000
0.000 0.000 4.163
Sm U Se
4 2 10
direct
0.028 0.175 0.000
0.472 0.675 0.000
0.528 0.325 0.000
0.972 0.825 0.000
0.000 0.500 0.500
0.500 0.000 0.500
0.000 0.000 0.500
0.170 0.398 0.000
0.179 0.699 0.500
0.321 0.199 0.500
0.330 0.898 0.000
0.500 0.500 0.500
0.670 0.102 0.000
0.679 0.801 0.500
0.821 0.301 0.500
0.830 0.602 0.000
```

## Properties
Raw formation energy, eV per atom: -1.550
Total DFT energy (no corrections), eV per atom: -6.32
Space-group type: Pbam

***

Entry 2:
Below is crystalline RbB2H4 at its relaxed geometry, with properties calculated at the PBE-GGA level.

The structure in POSCAR format:
```
RbB2H4
1.0
3.147 0.000 0.000
-0.197 6.144 0.000
-0.037 -3.071 5.596
Rb B H
1 2 4
direct
0.000 0.000 0.000
0.251 0.501 0.000
0.749 0.499 0.000
0.495 0.935 0.447
0.499 0.488 0.553
0.501 0.512 0.447
0.505 0.065 0.553
```

## Properties
Total DFT energy (no corrections), eV per atom: -3.74
Space-group type: P-1

***

Entry 3:
Below is crystalline AgAsBr2 at its relaxed geometry, with properties calculated at the PBE-GGA level.

The structure in POSCAR format:
```
AgAsBr2
1.0
4.168 -1.853 0.000
4.168 1.853 0.000
-0.579 0.000 8.249
Ag As Br
1 1 2
direct
0.000 0.000 0.000
0.338 0.338 0.843
0.451 0.451 0.591
0.645 0.645 0.183
```

## Properties
Raw formation energy, eV per atom: -0.135
Total DFT energy (no corrections), eV per atom: -2.85
Space-group type: Cm

***

Entry 4:
Below is crystalline La7TbPr2 at its relaxed geometry, with properties calculated at the PBE-GGA level.

The structure in POSCAR format:
```
La7TbPr2
1.0
4.508 -8.192 0.000
4.508 8.192 0.000
0.000 0.000 5.632
La Tb Pr
7 1 2
direct
0.000 0.000 0.000
0.200 0.426 0.000
0.260 0.740 0.500
0.426 0.200 0.000
0.574 0.800 0.000
0.740 0.260 0.500
0.800 0.574 0.000
0.500 0.500 0.500
0.200 0.800 0.000
0.800 0.200 0.000
```

## Properties
Total DFT energy (no corrections), eV per atom: -4.32
Calculated formation energy, eV/atom: 0.547
Space-group type: Cmmm

***

Entry 5:
Below is crystalline Y2Zn2Rh at its relaxed geometry, with properties calculated at the PBE-GGA level.

The structure in POSCAR format:
```
Y2Zn2Rh
1.0
6.951 0.000 0.000
0.000 6.951 0.000
0.000 0.000 4.285
Y Zn Rh
4 4 2
direct
0.182 0.318 0.000
0.318 0.818 0.000
0.682 0.182 0.000
0.818 0.682 0.000
0.126 0.626 0.500
0.374 0.126 0.500
0.626 0.874 0.500
0.874 0.374 0.500
0.000 0.000 0.500
0.500 0.500 0.500
```

## Properties
Total DFT energy (no corrections), eV per atom: -4.96
Calculated formation energy, eV/atom: -0.396
Space-group type: P4/mbm

***

Entry 6:
Below is crystalline CeNdN at its relaxed geometry, with properties calculated at the PBE-GGA level.

The structure in POSCAR format:
```
CeNdN
1.0
-2.400 2.400 3.979
2.400 -2.400 3.979
2.400 2.400 -3.979
Ce Nd N
1 1 1
direct
0.000 0.000 0.000
0.480 0.480 0.000
0.752 0.752 0.000
```

## Properties
Raw formation energy, eV per atom: 0.171
Total DFT energy (no corrections), eV per atom: -6.17
Space-group type: I4mm

***

Entry 7:
Below is crystalline La5Tb6Th at its relaxed geometry, with properties calculated at the PBE-GGA level.

The structure in POSCAR format:
```
La5Tb6Th
1.0
3.168 -5.485 0.000
3.168 5.485 0.000
-2.108 0.000 11.685
La Tb Th
5 6 1
direct
0.000 0.000 0.000
0.167 0.833 0.500
0.333 0.667 0.000
0.667 0.333 0.000
0.833 0.167 0.500
0.090 0.418 0.253
0.253 0.253 0.747
0.418 0.090 0.253
0.582 0.910 0.747
0.747 0.747 0.253
0.910 0.582 0.747
0.500 0.500 0.500
```

## Properties
Total DFT energy (no corrections), eV per atom: -4.97
Calculated formation energy, eV/atom: 0.018
Space-group type: C2/m

***

Entry 8:
Below is crystalline Pm2YPaRu2 at its relaxed geometry, with properties calculated at the PBE-GGA level.

The structure in POSCAR format:
```
Pm2YPaRu2
1.0
-3.458 6.817 3.406
3.458 -6.817 3.406
3.458 6.817 -3.406
Pm Y Pa Ru
4 2 2 4
direct
0.194 0.216 0.410
0.306 0.716 0.021
0.694 0.284 0.979
0.806 0.784 0.590
0.250 0.750 0.500
0.750 0.250 0.500
0.250 0.250 0.000
0.750 0.750 0.000
0.099 0.793 0.892
0.401 0.293 0.695
0.599 0.707 0.305
0.901 0.207 0.108
```

## Properties
Total DFT energy (no corrections), eV per atom: -7.63
Calculated formation energy, eV/atom: -0.290
Space-group type: Ibam

***

Q: The lowest total DFT energy (no corrections) belongs to which entry?
A: Pm2YPaRu2

***

Q: Number 4 is which compound?
A: La7TbPr2